Compound: FeMoW2
Source: Alexandria
Functional: SCAN
Structure: single point on PBEsol structure

## Properties
E above lowest polymorph in meV/atom: 33.6
Energy of formation from the pure elements in eV/f.u.: 0.449
VASP energy in eV/cell: -191.94

a = 5.109 Å, b = 5.109 Å, c = 2.658 Å
α = 100.21°, β = 100.21°, γ = 116.72°
Element x y z (fractional)
Fe (0.000, 0.000, 0.000)
Mo (0.500, 0.500, 0.000)
W (0.000, 0.500, 0.500)
W (0.500, 0.000, 0.500)

***

Compound: AlCrRu2
Source: Alexandria
Functional: SCAN
Structure: single point on PBEsol structure

## Properties
Energy of formation from the pure elements in eV/f.u.: -1.886
VASP energy in eV/cell: -97.68

a = 4.178 Å, b = 4.178 Å, c = 2.935 Å
α = 90.00°, β = 90.00°, γ = 90.00°
Element x y z (fractional)
Al (0.000, 0.000, 0.000)
Cr (0.500, 0.500, 0.000)
Ru (0.000, 0.500, 0.500)
Ru (0.500, 0.000, 0.500)

***

Compound: Ho6Mn4Al43
Source: Alexandria
Functional: SCAN
Structure: single point on PBEsol structure

## Properties
Energy of formation from the pure elements in eV/f.u.: -16.970
VASP energy in eV/cell: -1434.49

a = 10.754 Å, b = 10.754 Å, c = 17.435 Å
α = 90.00°, β = 90.00°, γ = 120.00°
Element x y z (fractional)
Ho (0.000, 0.468, 0.095)
Ho (0.000, 0.468, 0.405)
Ho (0.000, 0.532, 0.595)
Ho (0.000, 0.532, 0.905)
Ho (0.468, 0.000, 0.095)
Ho (0.468, 0.000, 0.405)
Ho (0.468, 0.468, 0.595)
Ho (0.468, 0.468, 0.905)
Ho (0.532, 0.000, 0.595)
Ho (0.532, 0.000, 0.905)
Ho (0.532, 0.532, 0.095)
Ho (0.532, 0.532, 0.405)
Mn (0.000, 0.000, 0.000)
Mn (0.000, 0.000, 0.500)
Mn (0.000, 0.268, 0.250)
Mn (0.000, 0.732, 0.750)
Mn (0.268, 0.000, 0.250)
Mn (0.268, 0.268, 0.750)
Mn (0.732, 0.000, 0.750)
Mn (0.732, 0.732, 0.250)
Al (0.000, 0.144, 0.750)
Al (0.000, 0.154, 0.116)
Al (0.000, 0.154, 0.384)
Al (0.000, 0.249, 0.530)
Al (0.000, 0.249, 0.970)
Al (0.000, 0.751, 0.030)
Al (0.000, 0.751, 0.470)
Al (0.000, 0.846, 0.616)
Al (0.000, 0.846, 0.884)
Al (0.000, 0.856, 0.250)
Al (0.144, 0.000, 0.750)
Al (0.144, 0.144, 0.250)
Al (0.145, 0.546, 0.250)
Al (0.145, 0.599, 0.750)
Al (0.154, 0.000, 0.116)
Al (0.154, 0.000, 0.384)
Al (0.154, 0.154, 0.616)
Al (0.154, 0.154, 0.884)
Al (0.157, 0.390, 0.666)
Al (0.157, 0.390, 0.834)
Al (0.157, 0.767, 0.166)
Al (0.157, 0.767, 0.334)
Al (0.233, 0.390, 0.166)
Al (0.233, 0.390, 0.334)
Al (0.233, 0.843, 0.666)
Al (0.233, 0.843, 0.834)
Al (0.247, 0.493, 0.000)
Al (0.247, 0.493, 0.500)
Al (0.247, 0.753, 0.000)
Al (0.247, 0.753, 0.500)
Al (0.249, 0.000, 0.530)
Al (0.249, 0.000, 0.970)
Al (0.249, 0.249, 0.030)
Al (0.249, 0.249, 0.470)
Al (0.333, 0.667, 0.127)
Al (0.333, 0.667, 0.373)
Al (0.333, 0.667, 0.627)
Al (0.333, 0.667, 0.873)
Al (0.390, 0.157, 0.666)
Al (0.390, 0.157, 0.834)
Al (0.390, 0.233, 0.166)
Al (0.390, 0.233, 0.334)
Al (0.401, 0.546, 0.750)
Al (0.401, 0.855, 0.250)
Al (0.454, 0.599, 0.250)
Al (0.454, 0.855, 0.750)
Al (0.493, 0.247, 0.000)
Al (0.493, 0.247, 0.500)
Al (0.507, 0.753, 0.000)
Al (0.507, 0.753, 0.500)
Al (0.546, 0.145, 0.250)
Al (0.546, 0.401, 0.750)
Al (0.599, 0.145, 0.750)
Al (0.599, 0.454, 0.250)
Al (0.610, 0.767, 0.666)
Al (0.610, 0.767, 0.834)
Al (0.610, 0.843, 0.166)
Al (0.610, 0.843, 0.334)
Al (0.667, 0.333, 0.127)
Al (0.667, 0.333, 0.373)
Al (0.667, 0.333, 0.627)
Al (0.667, 0.333, 0.873)
Al (0.751, 0.000, 0.030)
Al (0.751, 0.000, 0.470)
Al (0.751, 0.751, 0.530)
Al (0.751, 0.751, 0.970)
Al (0.753, 0.247, 0.000)
Al (0.753, 0.247, 0.500)
Al (0.753, 0.507, 0.000)
Al (0.753, 0.507, 0.500)
Al (0.767, 0.157, 0.166)
Al (0.767, 0.157, 0.334)
Al (0.767, 0.610, 0.666)
Al (0.767, 0.610, 0.834)
Al (0.843, 0.233, 0.666)
Al (0.843, 0.233, 0.834)
Al (0.843, 0.610, 0.166)
Al (0.843, 0.610, 0.334)
Al (0.846, 0.000, 0.616)
Al (0.846, 0.000, 0.884)
Al (0.846, 0.846, 0.116)
Al (0.846, 0.846, 0.384)
Al (0.855, 0.401, 0.250)
Al (0.855, 0.454, 0.750)
Al (0.856, 0.000, 0.250)
Al (0.856, 0.856, 0.750)

***

Compound: Ti3TlRh
Source: Alexandria
Functional: SCAN
Structure: single point on PBEsol structure

## Properties
Energy of formation from the pure elements in eV/f.u.: 7.243
VASP energy in eV/cell: -146.98

a = 4.905 Å, b = 4.905 Å, c = 4.905 Å
α = 90.00°, β = 90.00°, γ = 90.00°
Element x y z (fractional)
Ti (0.000, 0.000, 0.500)
Ti (0.000, 0.500, 0.000)
Ti (0.500, 0.000, 0.000)
Tl (0.000, 0.000, 0.000)
Rh (0.500, 0.500, 0.500)

***

Compound: MgCdCu2
Source: Alexandria
Functional: SCAN
Structure: single point on PBEsol structure

## Properties
Energy of formation from the pure elements in eV/f.u.: -0.215
VASP energy in eV/cell: -66.00

a = 3.048 Å, b = 3.048 Å, c = 6.601 Å
α = 90.00°, β = 90.00°, γ = 90.00°
Element x y z (fractional)
Mg (0.000, 0.000, 0.000)
Cd (0.500, 0.500, 0.322)
Cu (0.000, 0.000, 0.576)
Cu (0.500, 0.500, 0.756)

***

Compound: SbTe8Cl6O6F31
Source: Alexandria
Functional: SCAN
Structure: single point on PBEsol structure

## Properties
VASP energy in eV/cell: -621.16
Uncorrected formation energy in eV/f.u.: -90.9

a = 9.061 Å, b = 10.272 Å, c = 10.612 Å
α = 81.93°, β = 85.26°, γ = 75.07°
Element x y z (fractional)
Sb (0.000, 0.000, 0.000)
Te (0.172, 0.971, 0.299)
Te (0.233, 0.210, 0.838)
Te (0.292, 0.729, 0.885)
Te (0.336, 0.491, 0.359)
Te (0.664, 0.509, 0.641)
Te (0.708, 0.271, 0.115)
Te (0.767, 0.790, 0.162)
Te (0.828, 0.029, 0.701)
Cl (0.154, 0.583, 0.507)
Cl (0.161, 0.459, 0.224)
Cl (0.393, 0.268, 0.445)
Cl (0.607, 0.732, 0.555)
Cl (0.839, 0.541, 0.776)
Cl (0.846, 0.417, 0.493)
O (0.052, 0.157, 0.891)
O (0.081, 0.056, 0.146)
O (0.207, 0.882, 0.968)
O (0.793, 0.118, 0.032)
O (0.919, 0.944, 0.854)
O (0.948, 0.843, 0.109)
F (0.007, 0.072, 0.628)
F (0.115, 0.138, 0.362)
F (0.121, 0.657, 0.910)
F (0.133, 0.315, 0.697)
F (0.172, 0.359, 0.929)
F (0.228, 0.812, 0.725)
F (0.236, 0.796, 0.248)
F (0.263, 0.895, 0.452)
F (0.307, 0.068, 0.740)
F (0.347, 0.110, 0.973)
F (0.358, 0.004, 0.239)
F (0.368, 0.627, 0.036)
F (0.391, 0.576, 0.803)
F (0.404, 0.275, 0.777)
F (0.474, 0.782, 0.854)
F (0.500, 0.500, 0.500)
F (0.526, 0.218, 0.146)
F (0.596, 0.725, 0.223)
F (0.609, 0.424, 0.197)
F (0.632, 0.373, 0.964)
F (0.642, 0.996, 0.761)
F (0.653, 0.890, 0.027)
F (0.693, 0.932, 0.260)
F (0.737, 0.105, 0.548)
F (0.764, 0.204, 0.752)
F (0.772, 0.188, 0.275)
F (0.828, 0.641, 0.071)
F (0.867, 0.685, 0.303)
F (0.879, 0.343, 0.090)
F (0.885, 0.862, 0.638)
F (0.993, 0.928, 0.372)

***

Compound: LiInNi3
Source: Alexandria
Functional: SCAN
Structure: single point on PBEsol structure

## Properties
Energy of formation from the pure elements in eV/f.u.: 2.517
VASP energy in eV/cell: -81.78

a = 3.953 Å, b = 3.953 Å, c = 3.953 Å
α = 90.00°, β = 90.00°, γ = 90.00°
Element x y z (fractional)
Li (0.000, 0.000, 0.000)
In (0.500, 0.500, 0.500)
Ni (0.000, 0.000, 0.500)
Ni (0.000, 0.500, 0.000)
Ni (0.500, 0.000, 0.000)

***

Compound: Te3PPb
Source: Alexandria
Functional: SCAN
Structure: single point on PBEsol structure

## Properties
VASP energy in eV/cell: -196.74
Uncorrected formation energy in eV/f.u.: 1.2

a = 5.230 Å, b = 5.230 Å, c = 5.230 Å
α = 90.00°, β = 90.00°, γ = 90.00°
Element x y z (fractional)
Te (0.000, 0.000, 0.500)
Te (0.000, 0.500, 0.000)
Te (0.500, 0.000, 0.000)
P (0.000, 0.000, 0.000)
Pb (0.500, 0.500, 0.500)

***

Compound: BaCo2Pb
Source: Alexandria
Functional: SCAN
Structure: single point on PBEsol structure

## Properties
E above lowest polymorph in meV/atom: 221.5
Energy of formation from the pure elements in eV/f.u.: 2.845
VASP energy in eV/cell: -147.10

a = 4.842 Å, b = 4.842 Å, c = 3.390 Å
α = 90.00°, β = 90.00°, γ = 90.00°
Element x y z (fractional)
Ba (0.000, 0.000, 0.000)
Co (0.000, 0.500, 0.500)
Co (0.500, 0.000, 0.500)
Pb (0.500, 0.500, 0.000)

***

Compound: ZnAg2Pt
Source: Alexandria
Functional: SCAN
Structure: single point on PBEsol structure

## Properties
Energy of formation from the pure elements in eV/f.u.: -0.791
VASP energy in eV/cell: -147.23

a = 2.834 Å, b = 2.834 Å, c = 7.606 Å
α = 90.00°, β = 90.00°, γ = 90.00°
Element x y z (fractional)
Zn (0.000, 0.000, 0.000)
Ag (0.000, 0.000, 0.517)
Ag (0.500, 0.500, 0.247)
Pt (0.500, 0.500, 0.783)

***

What is the formula in the second record?
AlCrRu2